The following is a PBE calculation of a relaxed structure of ZnSbF5, from the Alexandria database.

Summary:
Energy above the most stable polymorph in this dataset, eV/f.u.: 0.00
SG: P2_1/c
Uncorrected formation energy, eV per atom: -2.319
Total magnetic moment, μB/f.u.: 0.00

Cell: 10.261 5.689 8.249 Å, 59.99 90.00 90.00°
Element x y z (fractional)
1 Zn 0.025 0.462 0.815
2 Zn 0.525 0.538 0.685
3 Zn 0.975 0.538 0.185
4 Zn 0.475 0.462 0.315
5 Sb 0.779 0.056 0.666
6 Sb 0.279 0.944 0.834
7 Sb 0.221 0.944 0.334
8 Sb 0.721 0.056 0.166
9 F 0.937 0.284 0.687
10 F 0.437 0.716 0.813
11 F 0.063 0.716 0.313
12 F 0.563 0.284 0.187
13 F 0.604 0.356 0.541
14 F 0.104 0.644 0.959
15 F 0.396 0.644 0.459
16 F 0.896 0.356 0.041
17 F 0.418 0.195 0.842
18 F 0.918 0.805 0.658
19 F 0.582 0.805 0.158
20 F 0.082 0.195 0.342
21 F 0.158 0.161 0.938
22 F 0.658 0.839 0.562
23 F 0.842 0.839 0.062
24 F 0.342 0.161 0.438
25 F 0.677 0.294 0.893
26 F 0.177 0.706 0.607
27 F 0.323 0.706 0.107
28 F 0.823 0.294 0.393

The following is a PBE calculation of a relaxed structure of TaSbRu2, from the Alexandria database.

Summary:
SG: Cmmm
Uncorrected formation energy, eV per atom: -0.101
Total magnetic moment, μB/f.u.: 0.00

Cell: 4.639 4.639 3.105 Å, 90.00 90.00 100.24°
Element x y z (fractional)
1 Ru 0.000 0.000 0.000
2 Ru 0.500 0.500 0.000
3 Sb 0.500 0.000 0.500
4 Ta 0.000 0.500 0.500

The following is a PBE calculation of a relaxed structure of ZnAu3, from the Alexandria database.

Summary:
SG: Imm2
Total magnetic moment, μB/f.u.: 0.00
Energy of formation from the pure elements, eV per atom: -0.1108

Cell: 5.506 5.506 5.506 Å, 148.14 127.77 62.50°
Element x y z (fractional)
1 Zn 0.354 0.000 0.354
2 Au 0.237 0.267 0.970
3 Au 0.703 0.733 0.970
4 Au 0.872 0.500 0.372